Density functional theory data (PBE-GGA) for crystalline Cd7P at its relaxed geometry.

```
data_Cd7P
_cell_length_a 8.813
_cell_length_b 8.813
_cell_length_c 8.813
_cell_angle_alpha 90.00
_cell_angle_beta 90.00
_cell_angle_gamma 90.00
_symmetry_space_group_name_H-M 'F m -3 m'
_symmetry_Int_Tables_number 225
_symmetry_space_group_name_Hall '-F 4 2 3'
loop_
_atom_site_label
_atom_site_fract_x
_atom_site_fract_y
_atom_site_fract_z
Cd1 0.000 0.000 0.000
Cd2 0.000 0.250 0.250
P1 0.000 0.000 0.500
```

## Properties
The calculation puts the volume at 684.4 Å³/cell. For the formation energy, the calculation gives 0.1232 eV/atom. Its total energy is -10.8 eV/f.u.



Density functional theory data (PBE-GGA) for crystalline Fe2SiMo at its relaxed geometry.

```
data_Fe2SiMo
_cell_length_a 5.456
_cell_length_b 6.396
_cell_length_c 2.769
_cell_angle_alpha 90.00
_cell_angle_beta 90.00
_cell_angle_gamma 90.00
_symmetry_space_group_name_H-M 'C m m m'
_symmetry_Int_Tables_number 65
_symmetry_space_group_name_Hall '-C 2 2'
loop_
_atom_site_label
_atom_site_fract_x
_atom_site_fract_y
_atom_site_fract_z
Fe1 0.250 0.250 0.000
Si1 0.000 0.000 0.500
Mo1 0.000 0.500 0.500
```

## Properties
The calculation puts the volume at 96.6 Å³/cell. Its total energy is -33.5 eV/f.u. For the uncorrected formation energy, the calculation gives -26 kJ/mol of formula units.



Density functional theory data (PBE-GGA) for crystalline PrThHg4 at its relaxed geometry.

```
data_PrThHg4
_cell_length_a 3.447
_cell_length_b 5.078
_cell_length_c 8.798
_cell_angle_alpha 90.00
_cell_angle_beta 90.00
_cell_angle_gamma 90.00
_symmetry_space_group_name_H-M 'P m m m'
_symmetry_Int_Tables_number 47
loop_
_symmetry_equiv_pos_as_xyz
'x,y,z'
'-x,-y,-z'
'-x,-y,z'
'x,y,-z'
'x,-y,-z'
'-x,y,z'
'-x,y,-z'
'x,-y,z'
loop_
_atom_site_label
_atom_site_fract_x
_atom_site_fract_y
_atom_site_fract_z
Pr1 0.000 0.000 0.000
Th1 0.000 0.500 0.500
Hg1 0.500 0.000 0.333
Hg2 0.500 0.500 0.166
```

## Properties
The calculation puts the volume at 154.0 Å³/cell. For the formation energy, the calculation gives -0.3505 eV/atom. Its total energy is -15.5 eV/f.u.



Density functional theory data (PBE-GGA) for crystalline MnCrIrS at its relaxed geometry.

```
data_MnCrIrS
_cell_length_a 2.747
_cell_length_b 2.747
_cell_length_c 6.322
_cell_angle_alpha 90.00
_cell_angle_beta 90.00
_cell_angle_gamma 90.00
_symmetry_space_group_name_H-M 'P 4 m m'
_symmetry_Int_Tables_number 99
loop_
_symmetry_equiv_pos_as_xyz
'x,y,z'
'-y,x,z'
'-x,-y,z'
'y,-x,z'
'-x,y,z'
'y,x,z'
'x,-y,z'
'-y,-x,z'
loop_
_atom_site_label
_atom_site_fract_x
_atom_site_fract_y
_atom_site_fract_z
Mn1 0.000 0.000 0.000
Cr1 0.000 0.000 0.573
Ir1 0.500 0.500 0.291
S1 0.500 0.500 0.793
```

## Properties
The calculation puts the volume at 47.7 Å³/cell. Its total energy is -32.4 eV/f.u. For the uncorrected formation energy, the calculation gives -56 kJ/mol of formula units.



Density functional theory data (PBE-GGA) for crystalline AgMo2Cl at its relaxed geometry.

```
data_AgMo2Cl
_cell_length_a 4.778
_cell_length_b 4.778
_cell_length_c 2.821
_cell_angle_alpha 90.00
_cell_angle_beta 90.00
_cell_angle_gamma 90.00
_symmetry_space_group_name_H-M 'P 4/m m m'
_symmetry_Int_Tables_number 123
_symmetry_space_group_name_Hall '-P 4 2'
loop_
_atom_site_label
_atom_site_fract_x
_atom_site_fract_y
_atom_site_fract_z
Ag1 0.000 0.000 0.000
Mo1 0.000 0.500 0.500
Cl1 0.500 0.500 0.000
```

## Properties
The calculation puts the volume at 64.4 Å³/cell. Its total energy is -22.5 eV/f.u. For the uncorrected formation energy, the calculation gives 370 kJ/mol of formula units.



Density functional theory data (PBE-GGA) for crystalline LiInS2 at its relaxed geometry.

```
data_LiInS2
_cell_length_a 5.370
_cell_length_b 5.370
_cell_length_c 10.733
_cell_angle_alpha 90.00
_cell_angle_beta 90.00
_cell_angle_gamma 90.00
_symmetry_space_group_name_H-M 'I 41/a m d'
_symmetry_Int_Tables_number 141
loop_
_symmetry_equiv_pos_as_xyz
'x,y,z'
'-x,-y,-z'
'-y+1/4,x+3/4,z+1/4'
'y+1/4,-x+3/4,-z+1/4'
'-x+1/2,-y,z+1/2'
'x+1/2,y,-z+1/2'
'y+1/4,-x+1/4,z+3/4'
'-y+1/4,x+1/4,-z+3/4'
'x,-y,-z'
'-x,y,z'
'-y+1/4,-x+1/4,-z+3/4'
'y+1/4,x+1/4,z+3/4'
'-x+1/2,y,-z+1/2'
'x+1/2,-y,z+1/2'
'y+1/4,x+3/4,-z+1/4'
'-y+1/4,-x+3/4,z+1/4'
'x+1/2,y+1/2,z+1/2'
'-x+1/2,-y+1/2,-z+1/2'
'-y+3/4,x+1/4,z+3/4'
'y+3/4,-x+1/4,-z+3/4'
'-x,-y+1/2,z'
'x,y+1/2,-z'
'y+3/4,-x+3/4,z+1/4'
'-y+3/4,x+3/4,-z+1/4'
'x+1/2,-y+1/2,-z+1/2'
'-x+1/2,y+1/2,z+1/2'
'-y+3/4,-x+3/4,-z+1/4'
'y+3/4,x+3/4,z+1/4'
'-x,y+1/2,-z'
'x,-y+1/2,z'
'y+3/4,x+1/4,-z+3/4'
'-y+3/4,-x+1/4,z+3/4'
loop_
_atom_site_label
_atom_site_fract_x
_atom_site_fract_y
_atom_site_fract_z
Li1 0.000 0.250 0.375
In1 0.000 0.250 0.875
S1 0.000 0.250 0.113
```

## Properties
The calculation puts the volume at 309.5 Å³/cell. Its total energy is -16.3 eV/f.u. For the uncorrected formation energy, the calculation gives -324 kJ/mol of formula units.



Density functional theory data (PBE-GGA) for crystalline YIrW2 at its relaxed geometry.

```
data_YIrW2
_cell_length_a 3.265
_cell_length_b 3.265
_cell_length_c 6.856
_cell_angle_alpha 90.00
_cell_angle_beta 90.00
_cell_angle_gamma 90.00
_symmetry_space_group_name_H-M 'P 4 m m'
_symmetry_Int_Tables_number 99
loop_
_symmetry_equiv_pos_as_xyz
'x,y,z'
'-y,x,z'
'-x,-y,z'
'y,-x,z'
'-x,y,z'
'y,x,z'
'x,-y,z'
'-y,-x,z'
loop_
_atom_site_label
_atom_site_fract_x
_atom_site_fract_y
_atom_site_fract_z
Y1 0.000 0.000 0.000
Ir1 0.500 0.500 0.270
W1 0.000 0.000 0.503
W2 0.500 0.500 0.704
```

## Properties
The calculation puts the volume at 73.1 Å³/cell. For the formation energy, the calculation gives 0.0730 eV/atom. Its total energy is -40.9 eV/f.u.



Density functional theory data (PBE-GGA) for crystalline SrCaTb at its relaxed geometry.

```
data_SrCaTb
_cell_length_a 3.859
_cell_length_b 3.859
_cell_length_c 16.667
_cell_angle_alpha 90.00
_cell_angle_beta 90.00
_cell_angle_gamma 90.00
_symmetry_space_group_name_H-M 'I 4 m m'
_symmetry_Int_Tables_number 107
_symmetry_space_group_name_Hall 'I 4 -2'
loop_
_atom_site_label
_atom_site_fract_x
_atom_site_fract_y
_atom_site_fract_z
Sr1 0.000 0.000 0.000
Ca1 0.000 0.000 0.685
Tb1 0.000 0.000 0.335
```

## Properties
The calculation puts the volume at 248.2 Å³/cell. For the formation energy, the calculation gives 0.1587 eV/atom. Its total energy is -7.8 eV/f.u.



Question: Among the records above, which one has the lowest volume?
Answer: MnCrIrS



Question: Which formula does entry 4 have?
Answer: MnCrIrS